Density functional theory data (PBE) for a relaxed structure of Ce2Ga4AgPd3.

The structure belongs to space group P-4m2 (No. 115); the cell edges are 4.288, 4.288 and 10.675 Å and the angles 90.00°, 90.00° and 90.00°. The distinct sites, in fractional coordinates, are Ce at (0.000, 0.500, 0.239), Ga at (0.000, 0.000, 0.000), Ga at (0.000, 0.500, 0.636), Ga at (0.500, 0.500, 0.000), Ag at (0.000, 0.000, 0.500), Pd at (0.000, 0.500, 0.868) and Pd at (0.500, 0.500, 0.500).

The formation energy comes out at -0.647 eV per atom. The volume is 19.62 A^3/atom. The density of states at the Fermi level comes out at 1.34 states/eV per atom.